[1]
A relaxed structure of Eu2Sn5Au2, computed with PBE.

The space group is P2_1/m (No. 11) and the conventional cell measures 9.499, 4.638 and 10.563 Å, with angles of 90.00, 91.43 and 90.00 degrees. Symmetry generates all atoms from Eu at (0.101, 0.250, 0.252), Eu at (0.359, 0.750, 0.747), Sn at (0.107, 0.250, 0.614), Sn at (0.136, 0.750, 0.023), Sn at (0.373, 0.750, 0.257), Sn at (0.386, 0.250, 0.484), Sn at (0.395, 0.250, 0.023), Au at (0.147, 0.250, 0.872) and Au at (0.180, 0.750, 0.471).

The value obtained for the formation enthalpy at 0 K is -528 meV per atom.

=====

[2]
A relaxed structure of Sc3Cd7Ag, computed with PBE.

The space group is Cmcm (No. 63) and the conventional cell measures 3.329, 23.596 and 13.098 Å, with angles of 90.00, 90.00 and 90.00 degrees. Symmetry generates all atoms from Sc at (0.000, 0.149, 0.068), Sc at (0.000, 0.271, 0.750), Cd at (0.000, 0.279, 0.082), Cd at (0.000, 0.391, 0.750), Cd at (0.000, 0.400, 0.126), Cd at (0.000, 0.466, 0.586) and Ag at (0.000, 0.021, 0.750).

The value obtained for the formation enthalpy at 0 K is -83 meV per atom.

=====

[3]
A relaxed structure of Ba2LiBiCl, computed with PBE.

The space group is P4/mmm (No. 123) and the conventional cell measures 6.131, 6.131 and 4.752 Å, with angles of 90.00, 90.00 and 90.00 degrees. Symmetry generates all atoms from Ba at (0.000, 0.500, 0.000), Li at (0.000, 0.000, 0.500), Bi at (0.500, 0.500, 0.500) and Cl at (0.000, 0.000, 0.000).

As for the formation energy (no corrections): -1.03 eV/atom.

=====

[4]
A relaxed structure of Mn2TcAsIr, computed with PBE.

The space group is P4/mmm (No. 123) and the conventional cell measures 4.817, 4.817 and 4.665 Å, with angles of 90.00, 90.00 and 90.00 degrees. Symmetry generates all atoms from Mn at (0.000, 0.500, 0.000), Tc at (0.000, 0.000, 0.500), As at (0.500, 0.500, 0.500) and Ir at (0.000, 0.000, 0.000).

The value obtained for the formation enthalpy at 0 K is 1125 meV per atom.

=====

[5]
A relaxed structure of LiTb2Ru, computed with PBE.

The space group is R-3m (No. 166, hexagonal axes) and the conventional cell measures 3.8413, 3.8413 and 29.7596 Å, with angles of 90.00, 90.00 and 120.00 degrees. Symmetry generates all atoms from Li at (0.0000, 0.0000, 0.0000), Tb at (0.0000, 0.0000, 0.1139) and Ru at (0.0000, 0.0000, 0.5000).

The value obtained for the formation enthalpy at 0 K is 68 meV per atom.

=====

[6]
A relaxed structure of La2Ge2Pb, computed with PBE.

The space group is I4/mmm (No. 139) and the conventional cell measures 5.190, 5.190 and 11.393 Å, with angles of 90.00, 90.00 and 90.00 degrees. Symmetry generates all atoms from La at (0.000, 0.500, 0.250), Ge at (0.000, 0.000, 0.106) and Pb at (0.000, 0.000, 0.500).

The value obtained for the formation enthalpy at 0 K is -248 meV per atom.

=====

[7]
A relaxed structure of MnNi7As2, computed with PBE.

The space group is I4/mmm (No. 139) and the conventional cell measures 3.650, 3.650 and 19.108 Å, with angles of 90.00, 90.00 and 90.00 degrees. Symmetry generates all atoms from Mn at (0.000, 0.000, 0.000), Ni at (0.000, 0.000, 0.500), Ni at (0.000, 0.500, 0.093), Ni at (0.000, 0.500, 0.250) and As at (0.000, 0.000, 0.330).

The value obtained for the formation enthalpy at 0 K is -161 meV per atom.

=====

[8]
A relaxed structure of SmAlPt, computed with PBE.

The space group is Pnma (No. 62) and the conventional cell measures 7.071, 4.475 and 7.821 Å, with angles of 90.00, 90.00 and 90.00 degrees. Symmetry generates all atoms from Sm at (0.029, 0.250, 0.182), Al at (0.146, 0.250, 0.566) and Pt at (0.221, 0.750, 0.387).

The value obtained for the formation enthalpy at 0 K is -1103 meV per atom.

=====

[9]
A relaxed structure of PuAlZnPd, computed with PBE.

The space group is R3m (No. 160, hexagonal axes) and the conventional cell measures 4.4309, 4.4309 and 14.5098 Å, with angles of 90.00, 90.00 and 120.00 degrees. Symmetry generates all atoms from Pu at (0.0000, 0.0000, 0.0000), Al at (0.0000, 0.0000, 0.2061), Zn at (0.0000, 0.0000, 0.4650) and Pd at (0.0000, 0.0000, 0.8056).

The value obtained for the energy above the most stable polymorph in this dataset is 10 meV/atom. The value obtained for the formation enthalpy at 0 K is -306 meV per atom.

=====

[10]
A relaxed structure of LiPm3Dy2Se6, computed with PBE.

The space group is C2/m (No. 12) and the conventional cell measures 7.091, 12.316 and 7.182 Å, with angles of 90.00, 109.38 and 90.00 degrees. Symmetry generates all atoms from Li at (0.000, 0.000, 0.000), Pm at (0.000, 0.167, 0.500), Pm at (0.000, 0.500, 0.500), Dy at (0.000, 0.335, 0.000), Se at (0.241, 0.163, 0.235) and Se at (0.246, 0.000, 0.767).

As for the formation energy (no corrections): -1.78 eV/atom.

=====

[11]
A relaxed structure of Gd2HoSb, computed with PBE.

The space group is P4/mmm (No. 123) and the conventional cell measures 4.070, 4.070 and 7.069 Å, with angles of 90.00, 90.00 and 90.00 degrees. Symmetry generates all atoms from Gd at (0.000, 0.000, 0.225), Ho at (0.500, 0.500, 0.500) and Sb at (0.500, 0.500, 0.000).

The value obtained for the energy above the most stable polymorph in this dataset is 0 meV/atom. As for the formation energy (no corrections): -0.51 eV/atom.

=====

[12]
A relaxed structure of TlFe4Re, computed with PBE.

The space group is F-43m (No. 216) and the conventional cell measures 6.874, 6.874 and 6.874 Å, with angles of 90.00, 90.00 and 90.00 degrees. Symmetry generates all atoms from Tl at (0.000, 0.000, 0.000), Fe at (0.123, 0.123, 0.623) and Re at (0.250, 0.250, 0.250).

The value obtained for the formation enthalpy at 0 K is 418 meV per atom.

=====

In the order shown, the computed mass density values come out to 9.22; 6.65; 4.89; 7.29; 5.58; 6.82; 8.03; 10.00; 8.94; 6.96; 8.53; 12.56 g cm⁻³.
In the order shown, the computed spin magnetization values come out to 0.0012; 0.0000; 0.1059; 1.4584; 0.0000; 0.0000; 0.4245; 0.0000; 1.3971; 0.0000; 3.9160; 1.4210 μB/atom.
In the order shown, the computed energy values come out to -103.731; -116.671; -16.636; -36.592; -60.540; -48.081; -121.088; -71.247; -77.290; -135.301; -38.921; -184.630 eV/cell.